[1]
A geometry-optimized Ce2GeRh structure, computed with GGA-PBE.

POSCAR file:
```
Ce2GeRh
1.0
5.932 0.000 0.000
0.000 4.111 0.000
-2.789 0.000 7.676
Ce Ge Rh
4 2 2
Cartesian
-0.011 1.028 3.130 Ce
1.504 3.083 0.448 Ce
1.640 1.028 7.229 Ce
3.155 3.083 4.546 Ce
0.208 3.083 5.395 Ge
2.936 1.028 2.281 Ge
-1.479 1.028 6.116 Rh
4.623 3.083 1.561 Rh
```

## Properties
For the uncorrected energy, the calculation gives -53.66 eV for the cell shown. The value obtained for the magnetic moment is 0.269 μB per atom. As for the space group: P2_1/m (11). The energy of formation is -0.75 eV/atom.

[2]
A geometry-optimized PuHgBiPb structure, computed with GGA-PBE.

POSCAR file:
```
PuHgBiPb
1.0
0.000 3.887 3.887
3.887 0.000 3.887
3.887 3.887 0.000
Pu Hg Bi Pb
1 1 1 1
Cartesian
0.000 0.000 0.000 Pu
1.943 1.943 1.943 Hg
5.830 5.830 5.830 Bi
3.887 3.887 3.887 Pb
```

## Properties
For the uncorrected energy, the calculation gives -22.63 eV for the cell shown. The value obtained for the magnetic moment is 1.480 μB per atom. As for the space group: F-43m (216). The energy of formation is -0.10 eV/atom.

> Look up the uncorrected energy of the second one.

-22.63 eV for the cell shown